(1)
Here is a geometry-optimized PuSiHIr2 structure from Alexandria via LeMat-Bulk. Energies are from PBE.

a = 5.761 Å, b = 5.761 Å, c = 6.995 Å
α = 90.00°, β = 90.00°, γ = 140.71°
Fractional coordinates of all 10 atoms:
Pu 0.060 0.940 0.750
Pu 0.940 0.060 0.250
Si 0.219 0.781 0.250
Si 0.781 0.219 0.750
H 0.500 0.500 0.000
H 0.500 0.500 0.500
Ir 0.339 0.661 0.551
Ir 0.339 0.661 0.949
Ir 0.661 0.339 0.051
Ir 0.661 0.339 0.449

Summary:
Final energy in eV per atom: -8.72
Space-group type: Cmcm, No. 63
Total magnetic moment in μB/f.u.: 4.7

(2)
Here is a geometry-optimized TbPuH8Ir2 structure from Alexandria via LeMat-Bulk. Energies are from PBE.

a = 7.003 Å, b = 7.003 Å, c = 7.003 Å
α = 37.91°, β = 37.91°, γ = 37.91°
Fractional coordinates of all 12 atoms:
Tb 0.000 0.000 0.000
Pu 0.500 0.500 0.500
H 0.086 0.538 0.538
H 0.146 0.146 0.146
H 0.462 0.462 0.914
H 0.462 0.914 0.462
H 0.538 0.086 0.538
H 0.538 0.538 0.086
H 0.854 0.854 0.854
H 0.914 0.462 0.462
Ir 0.235 0.235 0.235
Ir 0.765 0.765 0.765

Summary:
Final energy in eV per atom: -5.49
Space-group type: R-3m, No. 166
Total magnetic moment in μB/f.u.: 4.8

(3)
Here is a geometry-optimized TmPuH8Ir2 structure from Alexandria via LeMat-Bulk. Energies are from PBE.

a = 7.207 Å, b = 7.207 Å, c = 7.207 Å
α = 35.81°, β = 35.81°, γ = 35.81°
Fractional coordinates of all 12 atoms:
Tm 0.000 0.000 0.000
Pu 0.500 0.500 0.500
H 0.083 0.534 0.534
H 0.153 0.153 0.153
H 0.466 0.466 0.917
H 0.466 0.917 0.466
H 0.534 0.083 0.534
H 0.534 0.534 0.083
H 0.847 0.847 0.847
H 0.917 0.466 0.466
Ir 0.238 0.238 0.238
Ir 0.762 0.762 0.762

Summary:
Final energy in eV per atom: -5.46
Space-group type: R-3m, No. 166
Total magnetic moment in μB/f.u.: 4.5

(4)
Here is a geometry-optimized RbH2Ir structure from Alexandria via LeMat-Bulk. Energies are from PBE.

a = 4.343 Å, b = 4.343 Å, c = 4.343 Å
α = 60.00°, β = 60.00°, γ = 60.00°
Fractional coordinates of all 4 atoms:
Rb 0.000 0.000 0.000
H 0.250 0.250 0.250
H 0.750 0.750 0.750
Ir 0.500 0.500 0.500

Summary:
Final energy in eV per atom: -2.65
Space-group type: Fm-3m, No. 225
Total magnetic moment in μB/f.u.: 0.0

(5)
Here is a geometry-optimized RbHIr3 structure from Alexandria via LeMat-Bulk. Energies are from PBE.

a = 4.207 Å, b = 4.207 Å, c = 4.207 Å
α = 90.00°, β = 90.00°, γ = 90.00°
Fractional coordinates of all 5 atoms:
Rb 0.000 0.000 0.000
H 0.500 0.500 0.500
Ir 0.000 0.500 0.500
Ir 0.500 0.000 0.500
Ir 0.500 0.500 0.000

Summary:
Final energy in eV per atom: -4.95
Space-group type: Pm-3m, No. 221
Total magnetic moment in μB/f.u.: 0.0

(6)
Here is a geometry-optimized RbH4Ir structure from Alexandria via LeMat-Bulk. Energies are from PBE.

a = 7.109 Å, b = 7.109 Å, c = 4.742 Å
α = 107.26°, β = 107.26°, γ = 50.57°
Fractional coordinates of all 12 atoms:
Rb 0.167 0.167 0.250
Rb 0.833 0.833 0.750
H 0.215 0.571 0.364
H 0.295 0.705 0.000
H 0.330 0.330 0.939
H 0.429 0.785 0.636
H 0.571 0.215 0.364
H 0.670 0.670 0.061
H 0.705 0.295 0.000
H 0.785 0.429 0.636
Ir 0.447 0.447 0.197
Ir 0.553 0.553 0.803

Summary:
Final energy in eV per atom: -4.06
Space-group type: C2/m, No. 12
Total magnetic moment in μB/f.u.: 0.0

(7)
Here is a geometry-optimized Rb2H2Ir structure from Alexandria via LeMat-Bulk. Energies are from PBE.

a = 6.092 Å, b = 6.092 Å, c = 4.985 Å
α = 90.00°, β = 90.00°, γ = 90.00°
Fractional coordinates of all 10 atoms:
Rb 0.176 0.324 0.000
Rb 0.324 0.824 0.000
Rb 0.676 0.176 0.000
Rb 0.824 0.676 0.000
H 0.230 0.730 0.500
H 0.270 0.230 0.500
H 0.730 0.770 0.500
H 0.770 0.270 0.500
Ir 0.000 0.000 0.500
Ir 0.500 0.500 0.500

Summary:
Final energy in eV per atom: -2.90
Space-group type: P4/mbm, No. 127
Total magnetic moment in μB/f.u.: 0.0

(8)
Here is a geometry-optimized Rb3H9Ir2 structure from Alexandria via LeMat-Bulk. Energies are from PBE.

a = 6.028 Å, b = 6.028 Å, c = 15.082 Å
α = 90.00°, β = 90.00°, γ = 120.00°
Fractional coordinates of all 28 atoms:
Rb 0.000 0.000 0.250
Rb 0.000 0.000 0.750
Rb 0.333 0.667 0.086
Rb 0.333 0.667 0.414
Rb 0.667 0.333 0.586
Rb 0.667 0.333 0.914
H 0.071 0.535 0.750
H 0.215 0.431 0.596
H 0.215 0.431 0.904
H 0.215 0.785 0.596
H 0.215 0.785 0.904
H 0.431 0.215 0.096
H 0.431 0.215 0.404
H 0.465 0.535 0.750
H 0.465 0.929 0.750
H 0.535 0.071 0.250
H 0.535 0.465 0.250
H 0.569 0.785 0.596
H 0.569 0.785 0.904
H 0.785 0.215 0.096
H 0.785 0.215 0.404
H 0.785 0.569 0.096
H 0.785 0.569 0.404
H 0.929 0.465 0.250
Ir 0.333 0.667 0.666
Ir 0.333 0.667 0.834
Ir 0.667 0.333 0.166
Ir 0.667 0.333 0.334

Summary:
Final energy in eV per atom: -3.95
Space-group type: P6_3/mmc, No. 194
Total magnetic moment in μB/f.u.: 0.1

total magnetic moment of number 6 (RbH4Ir)?
0.0 μB/f.u.

Among the records above, which one has the lowest final energy?
PuSiHIr2

Which value of total magnetic moment does entry 8 give?
0.1 μB/f.u.